Material: CaLa4Ru2
Method: DFT, PBE-GGA
State: relaxed

Values from the calculation:
Magnetic moment in μB per atom: 0.000
Density of states at the Fermi level in states/eV/atom: 0.918
E_form in eV/atom: -0.126

Structure (extended XYZ):
```
14
Lattice="-0.1661 1.0700 7.5201 -6.7923 -5.2312 1.4873 9.1944 -1.3026 -0.1842" Properties=species:S:1:pos:R:3 pbc="T T T"
Ca 0.6391 -3.6018 1.2890
Ca 8.2579 -1.5998 1.1622
La 2.0387 0.0296 7.2791
La -1.6797 -2.2892 4.6234
La 2.5118 -4.5622 6.4119
La 5.3732 -0.3664 5.7141
La 1.8508 -1.3790 4.2041
La 4.7896 -1.1163 2.2131
La 4.1530 -4.5037 3.1474
La -3.0621 -2.0732 7.7742
Ru 4.4417 -2.7170 5.0157
Ru -3.8192 -4.1650 5.9841
Ru -0.6490 -0.7351 6.3606
Ru 3.8525 -3.0121 0.5121
```